1 | TiPWO2 | PBE+U | relaxed

Properties
- calculated volume (A^3/atom) = 16.0
- space group = P4/mmm

Structure (POSCAR):
```
TiPWO2
1.0
3.859 0.000 0.000
0.000 3.859 0.000
0.000 0.000 5.387
Ti P W O
1 1 1 2
Direct
0.000 0.000 0.000
0.500 0.500 0.000
0.500 0.500 0.500
0.000 0.500 0.500
0.500 0.000 0.500
```

---

2 | TiPWO2 | PBE+U | relaxed

Properties
- calculated volume (A^3/atom) = 15.4
- space group = P4/mmm

Structure (POSCAR):
```
TiPWO2
1.0
3.751 0.000 0.000
0.000 3.751 0.000
0.000 0.000 5.481
Ti P W O
1 1 1 2
Direct
0.000 0.000 0.000
0.000 0.000 0.500
0.500 0.500 0.500
0.000 0.500 0.000
0.500 0.000 0.000
```

---

Of them, 1 has the lowest stability.